1.
## Zr2BeIr (PBE)

Data for Zr2BeIr after structural relaxation.

Symmetry ... Pm (6)
Calculated volume ... 17.82 Å³/atom
Final energy ... -7.938 eV/atom
Theoretical density ... 8937 kg/m3

Cell: 4.0407 3.4971 5.3430 Å, 70.77 90.00 90.00°
Positions (direct):
Be: 0.0000 0.6986 0.4785
Ir: 0.5000 0.5533 0.7660
Zr: 0.0000 0.9810 0.9126
Zr: 0.5000 0.2671 0.3429

***

2.
## TbPm2Ru2 (PBE)

Data for TbPm2Ru2 after structural relaxation.

Symmetry ... Cmc2_1 (36)
Calculated volume ... 24.77 Å³/atom
Final energy ... -6.723 eV/atom
Theoretical density ... 8730 kg/m3

Cell: 4.2791 6.1554 10.0289 Å, 90.00 90.00 110.34°
Positions (direct):
Tb: 0.6456 0.2912 0.9627
Tb: 0.3544 0.7088 0.4627
Pm: 0.9057 0.8114 0.1475
Pm: 0.3534 0.7067 0.8326
Pm: 0.0943 0.1886 0.6475
Pm: 0.6466 0.2933 0.3326
Ru: 0.1884 0.3767 0.1432
Ru: 0.0030 0.0059 0.8993
Ru: 0.8116 0.6233 0.6432
Ru: 0.9970 0.9941 0.3993

***

3.
## CoPtI3 (PBE)

Data for CoPtI3 after structural relaxation.

Symmetry ... Pm-3m (221)
Calculated volume ... 33.03 Å³/atom
Energy above the lowest structure with this stoichiometry ... 0 kJ/mol of formula units
Final energy ... -2.793 eV/atom
Theoretical density ... 6383 kg/m3
Formation energy from raw total energies ... 766 meV/atom

Cell: 5.4863 5.4863 5.4863 Å, 90.00 90.00 90.00°
Each line ends with the local moment (μB).
Positions (direct):
I: 0.0000 0.5000 0.0000  0.04
I: 0.0000 0.0000 0.5000  0.02
I: 0.5000 0.0000 0.0000  0.02
Co: 0.5000 0.5000 0.5000  2.31
Pt: 0.0000 0.0000 0.0000  0.03

***

4.
## BeGa2Sn (PBE)

Data for BeGa2Sn after structural relaxation.

Symmetry ... Fm-3m (225)
Calculated volume ... 19.21 Å³/atom
Energy above the lowest structure with this stoichiometry ... 97 kJ/mol of formula units
Final energy ... -2.998 eV/atom
Theoretical density ... 5774 kg/m3

Cell: 4.7718 4.7718 4.7718 Å, 60.00 60.00 60.00°
Positions (direct):
Be: 0.0000 0.0000 0.0000
Sn: 0.5000 0.5000 0.5000
Ga: 0.2500 0.2500 0.2500
Ga: 0.7500 0.7500 0.7500